(1)
# Tc2TeAuS | Alexandria via LeMat-Bulk | GGA-PBE | relaxed
data_Tc2TeAuS
_cell_length_a 4.4715
_cell_length_b 4.4715
_cell_length_c 4.8401
_cell_angle_alpha 90.00
_cell_angle_beta 90.00
_cell_angle_gamma 90.00
_symmetry_space_group_name_H-M 'P 4/m m m'
_symmetry_Int_Tables_number 123
_symmetry_space_group_name_Hall '-P 4 2'
loop_
_atom_site_label
_atom_site_fract_x
_atom_site_fract_y
_atom_site_fract_z
Tc1 0.0000 0.5000 0.0000
Te1 0.0000 0.0000 0.5000
Au1 0.5000 0.5000 0.5000
S1 0.5000 0.5000 0.0000
# **Uncorrected energy**: -5.52 eV per atom
# **Volume**: 19.4 A^3/atom
# **Formation energy from raw total energies**: 0.736 eV/atom
# **Magnetization**: 0.9 μB per formula unit

---

(2)
# AlMo2Rh | Alexandria via LeMat-Bulk | GGA-PBE | relaxed
data_AlMo2Rh
_cell_length_a 3.6759
_cell_length_b 3.6759
_cell_length_c 4.4537
_cell_angle_alpha 90.00
_cell_angle_beta 90.00
_cell_angle_gamma 90.00
_symmetry_space_group_name_H-M 'P 4/m m m'
_symmetry_Int_Tables_number 123
_symmetry_space_group_name_Hall '-P 4 2'
loop_
_atom_site_label
_atom_site_fract_x
_atom_site_fract_y
_atom_site_fract_z
Al1 0.0000 0.0000 0.0000
Mo1 0.0000 0.5000 0.5000
Rh1 0.5000 0.5000 0.0000
# **Uncorrected energy**: -8.46 eV per atom
# **Volume**: 15.0 A^3/atom
# **Energy of formation**: -266 meV per atom
# **Magnetization**: 0.0 μB per formula unit

---

Question: Which formula does entry 2 have?
Answer: AlMo2Rh